Below is a relaxed Tb3ErTmSc crystal, with properties calculated at the PBE level.

Output
As for the total energy: -4.84 eV/atom.

POSCAR file:
```
Tb3ErTmSc
1.0
7.7930 0.0000 0.0000
0.0000 4.9527 0.0000
-3.1417 0.0000 9.3554
Tb Er Tm Sc
6 2 2 2
Cartesian
1.1802 1.2382 0.4153
-1.1527 3.7145 7.3921
-0.3443 1.2382 5.0644
4.9956 3.7145 4.2910
5.8040 1.2382 1.9633
3.4711 3.7145 8.9401
0.4242 3.7145 2.7703
4.2271 1.2382 6.5850
3.4883 3.7145 1.1943
1.1630 1.2382 8.1611
2.7042 1.2382 3.5386
1.9472 3.7145 5.8167
```

Below is a relaxed Tb2Er4TmSc crystal, with properties calculated at the PBE level.

Output
As for the total energy: -4.76 eV/atom.

POSCAR file:
```
Tb2Er4TmSc
1.0
4.9355 0.0000 0.0000
0.0000 4.9355 0.0000
0.0000 0.0000 9.8436
Tb Er Tm Sc
2 4 1 1
Cartesian
0.0000 0.0000 0.0000
2.4678 2.4678 4.9218
0.0000 2.4678 2.4248
0.0000 2.4678 7.4188
2.4678 0.0000 2.4248
2.4678 0.0000 7.4188
0.0000 0.0000 4.9218
2.4678 2.4678 0.0000
```

Below is a relaxed Tb2Er2TmSc2 crystal, with properties calculated at the PBE level.

Output
As for the total energy: -4.97 eV/atom.

POSCAR file:
```
Tb2Er2TmSc2
1.0
11.2435 0.0000 0.0000
0.0000 3.3987 0.0000
-3.6955 0.0000 10.8308
Tb Er Tm Sc
4 4 2 4
Cartesian
1.6004 0.0000 0.9553
0.3259 1.6993 9.8755
7.2221 1.6993 0.9553
5.9476 0.0000 9.8755
-2.3043 0.0000 8.3151
4.2305 1.6993 2.5157
3.3174 1.6993 8.3151
9.8523 0.0000 2.5157
-1.8478 1.6993 5.4154
3.7740 0.0000 5.4154
1.2090 1.6993 3.9751
0.7172 0.0000 6.8557
6.8308 0.0000 3.9751
6.3389 1.6993 6.8557
```

Below is a relaxed Tb3Er2Tm6Sc crystal, with properties calculated at the PBE level.

Output
As for the total energy: -4.65 eV/atom.

POSCAR file:
```
Tb3Er2Tm6Sc
1.0
3.0254 -5.2337 0.0000
3.0254 5.2337 0.0000
-2.0120 0.0000 11.3849
Tb Er Tm Sc
3 2 6 1
Cartesian
0.0000 0.0000 0.0000
3.0254 1.7433 0.0000
3.0254 -1.7433 0.0000
2.0194 3.4904 5.6924
2.0194 -3.4904 5.6924
1.0210 1.7335 2.8871
0.0107 0.0000 8.5003
1.0210 -1.7335 2.8871
3.0178 1.7335 8.4978
4.0281 0.0000 2.8846
3.0178 -1.7335 8.4978
2.0194 0.0000 5.6924
```

Below is a relaxed TbErTm3Sc crystal, with properties calculated at the PBE level.

Output
As for the total energy: -4.79 eV/atom.

POSCAR file:
```
TbErTm3Sc
1.0
2.4500 -7.3562 0.0000
2.4500 7.3562 0.0000
0.0000 0.0000 9.7954
Tb Er Tm Sc
2 2 6 2
Cartesian
2.4500 7.3294 7.3465
2.4500 -7.3294 2.4488
2.4500 0.0000 0.0000
2.4500 0.0000 4.8977
2.4500 4.8892 9.7913
2.4500 4.8892 4.9017
2.4500 2.4865 7.3465
2.4500 -2.4865 2.4488
2.4500 -4.8892 0.0040
2.4500 -4.8892 4.8936
2.4500 2.4667 2.4488
2.4500 -2.4667 7.3465
```

Below is a relaxed TbEr6Tm2Sc3 crystal, with properties calculated at the PBE level.

Output
As for the total energy: -4.95 eV/atom.

POSCAR file:
```
TbEr6Tm2Sc3
1.0
2.9944 -5.1819 0.0000
2.9944 5.1819 0.0000
-1.9916 0.0000 11.2097
Tb Er Tm Sc
1 6 2 3
Cartesian
0.0000 0.0000 0.0000
1.0000 1.7282 2.8935
0.0046 0.0000 8.3155
1.0000 -1.7282 2.8935
2.9972 1.7282 8.3161
3.9926 0.0000 2.8942
2.9972 -1.7282 8.3161
2.9944 1.7268 0.0000
2.9944 -1.7268 0.0000
1.9986 3.4523 5.6048
1.9986 0.0000 5.6048
1.9986 -3.4523 5.6048
```

Below is a relaxed TbErTm2Sc crystal, with properties calculated at the PBE level.

Output
As for the total energy: -4.54 eV/atom.

POSCAR file:
```
TbErTm2Sc
1.0
4.0390 -5.5420 0.0000
4.0390 5.5420 0.0000
0.0000 0.0000 7.0209
Tb Er Tm Sc
2 2 4 2
Cartesian
4.0390 2.9895 5.2657
4.0390 -2.9895 1.7552
4.0390 3.0007 1.7552
4.0390 -3.0007 5.2657
1.5871 0.0000 0.0000
1.5871 0.0000 3.5104
6.4909 0.0000 0.0000
6.4909 0.0000 3.5104
4.0390 0.0079 5.2657
4.0390 -0.0079 1.7552
```

Below is a relaxed Tb6Er3Tm2Sc crystal, with properties calculated at the PBE level.

Output
As for the total energy: -4.70 eV/atom.

POSCAR file:
```
Tb6Er3Tm2Sc
1.0
3.0450 -5.2689 0.0000
3.0450 5.2689 0.0000
-2.0225 0.0000 11.4139
Tb Er Tm Sc
6 3 2 1
Cartesian
1.0090 1.7453 2.8222
-0.0051 0.0000 8.5902
1.0090 -1.7453 2.8222
3.0585 1.7453 8.5917
4.0725 0.0000 2.8238
3.0585 -1.7453 8.5917
2.0337 3.5125 5.7070
2.0337 0.0000 5.7070
2.0337 -3.5125 5.7070
3.0450 1.7559 0.0000
3.0450 -1.7559 0.0000
0.0000 0.0000 0.0000
```

Below is a relaxed TbErTmSc crystal, with properties calculated at the PBE level.

Output
As for the total energy: -4.96 eV/atom.

POSCAR file:
```
TbErTmSc
1.0
4.8999 0.0000 0.0000
0.0000 4.8999 0.0000
0.0000 0.0000 9.7095
Tb Er Tm Sc
2 2 2 2
Cartesian
0.0000 0.0000 0.0000
2.4500 2.4500 4.8548
0.0000 2.4500 2.4274
2.4500 0.0000 7.2821
0.0000 2.4500 7.2821
2.4500 0.0000 2.4274
0.0000 0.0000 4.8548
2.4500 2.4500 0.0000
```

Below is a relaxed Tb4ErTm2Sc crystal, with properties calculated at the PBE level.

Output
As for the total energy: -4.76 eV/atom.

POSCAR file:
```
Tb4ErTm2Sc
1.0
4.9607 0.0000 0.0000
0.0000 4.9607 0.0000
0.0000 0.0000 9.8347
Tb Er Tm Sc
4 1 2 1
Cartesian
0.0000 2.4803 2.4150
0.0000 2.4803 7.4197
2.4803 0.0000 2.4150
2.4803 0.0000 7.4197
0.0000 0.0000 4.9173
0.0000 0.0000 0.0000
2.4803 2.4803 4.9173
2.4803 2.4803 0.0000
```

Below is a relaxed Tb6ErTmSc2 crystal, with properties calculated at the PBE level.

Output
As for the total energy: -4.82 eV/atom.

POSCAR file:
```
Tb6ErTmSc2
1.0
4.4638 -7.3750 0.0000
4.4638 7.3750 0.0000
-1.1952 0.0000 9.2714
Tb Er Tm Sc
12 2 2 4
Cartesian
2.3604 4.0249 1.6878
3.2508 4.7242 5.1304
3.8840 4.7242 8.7766
3.1182 1.5301 3.5431
5.9696 4.0249 2.9478
5.2118 1.5301 1.0926
2.5206 -1.5301 8.1788
1.7628 -4.0249 6.3235
4.6142 -1.5301 5.7282
3.8484 -4.7242 0.4947
4.4816 -4.7242 4.1410
5.3720 -4.0249 7.5835
4.1650 6.9853 2.3178
3.5674 -6.9853 6.9535
3.5674 1.3605 6.9535
4.1650 -1.3605 2.3178
2.1740 0.7728 0.4342
1.5764 -0.7728 5.0699
6.1560 0.7728 4.2014
5.5584 -0.7728 8.8371
```

Below is a relaxed Tb2Er6Tm3Sc crystal, with properties calculated at the PBE level.

Output
As for the total energy: -4.67 eV/atom.

POSCAR file:
```
Tb2Er6Tm3Sc
1.0
3.0223 -5.2289 0.0000
3.0223 5.2289 0.0000
-2.0085 0.0000 11.4008
Tb Er Tm Sc
2 6 3 1
Cartesian
3.0223 3.4862 0.0000
3.0223 -3.4862 0.0000
0.0133 1.7310 8.5583
1.0203 0.0000 2.8446
0.0133 -1.7310 8.5583
4.0228 1.7310 2.8425
3.0158 0.0000 8.5562
4.0228 -1.7310 2.8425
-1.0043 0.0000 5.7004
2.0180 1.7398 5.7004
2.0180 -1.7398 5.7004
3.0223 0.0000 0.0000
```